Density functional theory data (PBE+U) for an optimized crystal structure of Y3WO.

Cell lengths 4.812, 4.812, 4.812 Å; angles 90.00, 90.00, 90.00 degrees
Space group Pm-3m (No. 221)
Asymmetric unit:
Y  0.000  0.000  0.500 (multiplicity 3)
W  0.500  0.500  0.500 (multiplicity 1)
O  0.000  0.000  0.000 (multiplicity 1)

Output
density of states at the Fermi level = 4.76 states/eV per cell
crystal system = cubic
ΔE to the lowest computed polymorph = 0 meV per atom